(1)
YNbCu: relaxed, GGA-PBE.

Values from the calculation:
* spin magnetization: 0.00 μB per cell
* D(E_F): 5.54 states/eV per cell

Unit cell a=3.4463 b=3.4463 c=10.2382 alpha=90.00 beta=90.00 gamma=90.00
Last column: nearest neighbours and their distance in Å.
Fractional positions:
Y1 0.5000 0.5000 0.2778  8 Cu 3.01-3.06, 1 Nb 3.32
Y2 0.5000 0.5000 0.9335  4 Cu 3.00, 4 Nb 3.20
Nb1 0.5000 0.5000 0.6018  4 Nb 2.78, 4 Cu 2.85
Nb2 0.0000 0.0000 0.7317  4 Nb 2.78, 1 Cu 2.80
Cu1 0.0000 0.0000 0.4580  5 Nb 2.80-2.85, 4 Y 3.06
Cu2 0.0000 0.0000 0.1045  8 Y 3.00-3.01

---

(2)
YNbCu: relaxed, GGA-PBE.

Values from the calculation:
* spin magnetization: 0.00 μB per cell
* D(E_F): 4.14 states/eV per cell

Unit cell a=3.3391 b=4.5545 c=8.1159 alpha=90.00 beta=101.52 gamma=90.00
Last column: nearest neighbours and their distance in Å.
Fractional positions:
Y1 0.9155 0.2500 0.8417  4 Cu 2.87
Y2 0.0845 0.7500 0.1583  4 Cu 2.87
Nb1 0.2450 0.2500 0.4893  2 Cu 2.70, 4 Nb 2.83
Nb2 0.7550 0.7500 0.5107  2 Cu 2.70, 4 Nb 2.83
Cu1 0.6149 0.2500 0.2225  2 Nb 2.70, 4 Y 2.87
Cu2 0.3851 0.7500 0.7775  2 Nb 2.70, 4 Y 2.87

---

(3)
YNbCu: relaxed, GGA-PBE.

Values from the calculation:
* spin magnetization: 0.00 μB per cell
* D(E_F): 3.63 states/eV per cell

Unit cell a=3.4967 b=3.4967 c=9.9134 alpha=90.00 beta=90.00 gamma=90.00
Last column: nearest neighbours and their distance in Å.
Fractional positions:
Y1 0.0000 0.5000 0.2731  5 Cu 2.84-2.98
Y2 0.5000 0.0000 0.7269  5 Cu 2.84-2.98
Nb1 0.0000 0.5000 0.9382  4 Nb 2.76
Nb2 0.5000 0.0000 0.0618  4 Nb 2.76
Cu1 0.0000 0.5000 0.5598  4 Cu 2.74, 5 Y 2.84-2.98
Cu2 0.5000 0.0000 0.4402  4 Cu 2.74, 5 Y 2.84-2.98

---

Which one sits at the top of the stability order? (3) does.

---

(1)
YNbCu: relaxed, GGA-PBE.

Values from the calculation:
* spin magnetization: 0.00 μB per cell
* D(E_F): 11.64 states/eV per cell

Unit cell a=8.0921 b=3.3537 c=10.7150 alpha=90.00 beta=121.54 gamma=90.00
Last column: nearest neighbours and their distance in Å.
Fractional positions:
Y1 0.9765 0.0000 0.2450  5 Cu 2.87-2.95
Y2 0.9765 0.5000 0.7450  5 Cu 2.87-2.95
Y3 0.2737 0.0000 0.6356  3 Cu 2.84-2.89, 1 Nb 3.10
Y4 0.2737 0.5000 0.1356  3 Cu 2.84-2.89, 1 Nb 3.10
Nb1 0.4407 0.0000 0.9703  2 Nb 2.68, 2 Cu 2.72
Nb2 0.4407 0.5000 0.4703  2 Nb 2.68, 2 Cu 2.72
Nb3 0.6509 0.0000 0.4125  2 Nb 2.68, 4 Cu 2.72-2.88
Nb4 0.6509 0.5000 0.9125  2 Nb 2.68, 4 Cu 2.72-2.88
Cu1 0.6607 0.0000 0.6983  1 Cu 2.50, 2 Nb 2.72
Cu2 0.6607 0.5000 0.1983  1 Cu 2.50, 2 Nb 2.72
Cu3 0.9412 0.0000 0.9564  1 Cu 2.50, 2 Nb 2.72
Cu4 0.9412 0.5000 0.4564  1 Cu 2.50, 2 Nb 2.72

---

(2)
YNbCu: relaxed, GGA-PBE.

Values from the calculation:
* spin magnetization: 0.00 μB per cell
* D(E_F): 11.84 states/eV per cell

Unit cell a=3.2786 b=4.5753 c=16.0135 alpha=90.00 beta=90.48 gamma=90.00
Last column: nearest neighbours and their distance in Å.
Fractional positions:
Y1 0.0096 0.0000 0.1732  4 Cu 2.87
Y2 0.9904 0.0000 0.8268  4 Cu 2.87
Y3 0.0096 0.5000 0.6732  4 Cu 2.87
Y4 0.9904 0.5000 0.3268  4 Cu 2.87
Nb1 0.5000 0.5000 0.5000  4 Nb 2.81
Nb2 0.5000 0.0000 0.0000  4 Nb 2.81
Nb3 0.0000 0.5000 0.0000  4 Cu 2.75, 4 Nb 2.81
Nb4 0.0000 0.0000 0.5000  4 Cu 2.75, 4 Nb 2.81
Cu1 0.5064 0.0000 0.6378  2 Nb 2.75, 4 Y 2.87
Cu2 0.4936 0.0000 0.3622  2 Nb 2.75, 4 Y 2.87
Cu3 0.5064 0.5000 0.1378  2 Nb 2.75, 4 Y 2.87
Cu4 0.4936 0.5000 0.8622  2 Nb 2.75, 4 Y 2.87

---

(3)
YNbCu: relaxed, GGA-PBE.

Values from the calculation:
* spin magnetization: 0.00 μB per cell
* D(E_F): 5.22 states/eV per cell

Unit cell a=3.5744 b=3.8107 c=9.2232 alpha=90.00 beta=101.36 gamma=90.00
Last column: nearest neighbours and their distance in Å.
Fractional positions:
Y1 0.6050 0.2500 0.7100  4 Cu 2.85, 1 Nb 3.16
Y2 0.3950 0.7500 0.2900  4 Cu 2.85, 1 Nb 3.16
Nb1 0.7799 0.2500 0.0597  4 Nb 2.82-2.83, 1 Y 3.16
Nb2 0.2201 0.7500 0.9403  4 Nb 2.82-2.83, 1 Y 3.16
Cu1 0.9580 0.2500 0.4151  2 Cu 2.45
Cu2 0.0420 0.7500 0.5849  2 Cu 2.45

---

Which one sits at the top of the stability order? (3) does.

---

(1)
YNbCu: relaxed, GGA-PBE.

Values from the calculation:
* spin magnetization: 0.00 μB per cell
* D(E_F): 3.82 states/eV per cell

Unit cell a=4.6587 b=3.2930 c=11.0879 alpha=90.00 beta=90.00 gamma=135.02
Last column: nearest neighbours and their distance in Å.
Fractional positions:
Cu1 0.6945 0.3890 0.0000  8 Nb 2.73-2.74
Cu2 0.1945 0.3890 0.5000  8 Y 3.01, 4 Cu 3.29
Y1 0.6944 0.3888 0.3277  4 Cu 3.01, 4 Nb 3.20, 4 Y 3.29
Y2 0.6944 0.3888 0.6723  4 Cu 3.01, 4 Nb 3.20, 4 Y 3.29
Nb1 0.1944 0.3888 0.8706  4 Cu 2.73-2.74, 1 Nb 2.87
Nb2 0.1944 0.3888 0.1294  4 Cu 2.73-2.74, 1 Nb 2.87

---

(2)
YNbCu: relaxed, GGA-PBE.

Values from the calculation:
* spin magnetization: 0.00 μB per cell
* D(E_F): 6.08 states/eV per cell

Unit cell a=3.2106 b=4.6510 c=8.4266 alpha=76.59 beta=83.39 gamma=90.06
Last column: nearest neighbours and their distance in Å.
Fractional positions:
Y1 0.6415 0.8679 0.2118  4 Cu 2.87-3.01, 3 Nb 3.14-3.16, 2 Y 3.21
Y2 0.3585 0.1321 0.7882  4 Cu 2.87-3.01, 3 Nb 3.14-3.16, 2 Y 3.21
Nb1 0.8938 0.2746 0.4395  2 Nb 2.64-2.65, 1 Cu 2.76
Nb2 0.1062 0.7254 0.5605  2 Nb 2.64-2.65, 1 Cu 2.76
Cu1 0.2085 0.4108 0.1115  2 Cu 2.42-2.49
Cu2 0.7915 0.5892 0.8885  2 Cu 2.42-2.49

---

Which one sits at the top of the stability order? (2) does.

---

(1)
YNb2Cu2: relaxed, GGA-PBE.

Values from the calculation:
* spin magnetization: 0.78 μB per cell
* D(E_F): 8.35 states/eV per cell

Unit cell a=7.9910 b=7.9910 c=2.8170 alpha=90.00 beta=90.00 gamma=90.00
Last column: nearest neighbours and their distance in Å.
Fractional positions:
Y1 0.0000 0.0000 0.0000  2 Y 2.82
Y2 0.5000 0.5000 0.0000  2 Y 2.82
Nb1 0.3812 0.8812 0.0000  3 Nb 2.69-2.82, 6 Cu 2.70-2.79
Nb2 0.8812 0.6188 0.0000  3 Nb 2.69-2.82, 6 Cu 2.70-2.79
Nb3 0.6188 0.1188 0.0000  3 Nb 2.69-2.82, 6 Cu 2.70-2.79
Nb4 0.1188 0.3812 0.0000  3 Nb 2.69-2.82, 6 Cu 2.70-2.79
Cu1 0.1774 0.6774 0.5000  6 Nb 2.70-2.79, 2 Cu 2.82
Cu2 0.6774 0.8226 0.5000  6 Nb 2.70-2.79, 2 Cu 2.82
Cu3 0.8226 0.3226 0.5000  6 Nb 2.70-2.79, 2 Cu 2.82
Cu4 0.3226 0.1774 0.5000  6 Nb 2.70-2.79, 2 Cu 2.82

---

(2)
YNb2Cu2: relaxed, GGA-PBE.

Values from the calculation:
* spin magnetization: 0.00 μB per cell
* D(E_F): 6.49 states/eV per cell

Unit cell a=7.6587 b=7.6587 c=3.0334 alpha=90.00 beta=90.00 gamma=90.00
Last column: nearest neighbours and their distance in Å.
Fractional positions:
Y1 0.0000 0.0000 0.0000  2 Y 3.03, 4 Cu 3.06, 8 Nb 3.22
Y2 0.5000 0.5000 0.0000  2 Y 3.03, 4 Cu 3.06, 8 Nb 3.22
Nb1 0.1721 0.6721 0.5000  6 Cu 2.73, 2 Nb 3.03
Nb2 0.6721 0.8279 0.5000  6 Cu 2.73, 2 Nb 3.03
Nb3 0.8279 0.3279 0.5000  6 Cu 2.73, 2 Nb 3.03
Nb4 0.3279 0.1721 0.5000  6 Cu 2.73, 2 Nb 3.03
Cu1 0.3814 0.8814 0.0000  1 Cu 2.57, 6 Nb 2.73
Cu2 0.8814 0.6186 0.0000  1 Cu 2.57, 6 Nb 2.73
Cu3 0.6186 0.1186 0.0000  1 Cu 2.57, 6 Nb 2.73
Cu4 0.1186 0.3814 0.0000  1 Cu 2.57, 6 Nb 2.73

---

(3)
YNb2Cu2: relaxed, GGA-PBE.

Values from the calculation:
* spin magnetization: 0.02 μB per cell
* D(E_F): 7.52 states/eV per cell

Unit cell a=4.2213 b=4.2213 c=6.3156 alpha=70.48 beta=70.48 gamma=90.00
Last column: nearest neighbours and their distance in Å.
Fractional positions:
Y1 0.0000 0.0000 0.0000  8 Nb 3.27, 8 Cu 3.49
Nb1 0.3803 0.3803 0.2395  4 Cu 2.56, 1 Nb 2.67
Nb2 0.6197 0.6197 0.7605  4 Cu 2.56, 1 Nb 2.67
Cu1 0.7500 0.2500 0.5000  4 Nb 2.56
Cu2 0.2500 0.7500 0.5000  4 Nb 2.56

---

Which one sits at the top of the stability order? (1) does.

---

(1)
Y3NbCu: relaxed, GGA-PBE.

Values from the calculation:
* spin magnetization: 0.00 μB per cell
* D(E_F): 5.85 states/eV per cell

Unit cell a=5.3830 b=5.3830 c=5.3830 alpha=90.00 beta=90.00 gamma=90.00
Last column: nearest neighbours and their distance in Å.
Fractional positions:
Y1 0.0000 0.5000 0.0000  2 Nb 2.69
Y2 0.0000 0.0000 0.5000  2 Nb 2.69
Y3 0.5000 0.0000 0.0000  2 Nb 2.69
Nb1 0.0000 0.0000 0.0000  6 Y 2.69
Cu1 0.5000 0.5000 0.5000  12 Y 3.81

---

(2)
Y3NbCu: relaxed, GGA-PBE.

Values from the calculation:
* spin magnetization: 2.23 μB per cell
* D(E_F): 7.31 states/eV per cell

Unit cell a=5.2517 b=5.2517 c=5.2517 alpha=90.00 beta=90.00 gamma=90.00
Last column: nearest neighbours and their distance in Å.
Fractional positions:
Y1 0.0000 0.5000 0.0000  2 Cu 2.63
Y2 0.0000 0.0000 0.5000  2 Cu 2.63
Y3 0.5000 0.0000 0.0000  2 Cu 2.63
Nb1 0.5000 0.5000 0.5000  12 Y 3.71
Cu1 0.0000 0.0000 0.0000  6 Y 2.63

---

Which one sits at the top of the stability order? (2) does.

---

(1)
NbZn2Cu2: relaxed, GGA-PBE.

Values from the calculation:
* spin magnetization: 0.00 μB per cell
* D(E_F): 5.89 states/eV per cell

Unit cell a=7.3163 b=7.3163 c=2.6438 alpha=90.00 beta=90.00 gamma=90.00
Last column: nearest neighbours and their distance in Å.
Fractional positions:
Nb1 0.0000 0.0000 0.0000  2 Nb 2.64, 4 Cu 2.90
Nb2 0.5000 0.5000 0.0000  2 Nb 2.64, 4 Cu 2.90
Zn1 0.1744 0.6744 0.5000  6 Cu 2.48-2.57, 2 Zn 2.64
Zn2 0.6744 0.8256 0.5000  6 Cu 2.48-2.57, 2 Zn 2.64
Zn3 0.8256 0.3256 0.5000  6 Cu 2.48-2.57, 2 Zn 2.64
Zn4 0.3256 0.1744 0.5000  6 Cu 2.48-2.57, 2 Zn 2.64
Cu1 0.3772 0.8772 0.0000  6 Zn 2.48-2.57, 3 Cu 2.54-2.64
Cu2 0.8772 0.6228 0.0000  6 Zn 2.48-2.57, 3 Cu 2.54-2.64
Cu3 0.6228 0.1228 0.0000  6 Zn 2.48-2.57, 3 Cu 2.54-2.64
Cu4 0.1228 0.3772 0.0000  6 Zn 2.48-2.57, 3 Cu 2.54-2.64

---

(2)
NbZn2Cu2: relaxed, GGA-PBE.

Values from the calculation:
* spin magnetization: 0.26 μB per cell
* D(E_F): 6.59 states/eV per cell

Unit cell a=7.3252 b=7.3252 c=2.6369 alpha=90.00 beta=90.00 gamma=90.00
Last column: nearest neighbours and their distance in Å.
Fractional positions:
Nb1 0.0000 0.0000 0.0000  2 Nb 2.64, 4 Zn 2.89
Nb2 0.5000 0.5000 0.0000  2 Nb 2.64, 4 Zn 2.89
Zn1 0.3740 0.8740 0.0000  6 Cu 2.47-2.58, 3 Zn 2.61-2.64
Zn2 0.8740 0.6260 0.0000  6 Cu 2.47-2.58, 3 Zn 2.61-2.64
Zn3 0.6260 0.1260 0.0000  6 Cu 2.47-2.58, 3 Zn 2.61-2.64
Zn4 0.1260 0.3740 0.0000  6 Cu 2.47-2.58, 3 Zn 2.61-2.64
Cu1 0.1726 0.6726 0.5000  6 Zn 2.47-2.58, 2 Cu 2.64
Cu2 0.6726 0.8274 0.5000  6 Zn 2.47-2.58, 2 Cu 2.64
Cu3 0.8274 0.3274 0.5000  6 Zn 2.47-2.58, 2 Cu 2.64
Cu4 0.3274 0.1726 0.5000  6 Zn 2.47-2.58, 2 Cu 2.64

---

Which one sits at the top of the stability order? (1) does.